No. 1
Material: LaIn2Bi2
Method: DFT, GGA-PBE
State: optimized geometry

Calculated values
**ΔE to the lowest computed polymorph**: 0.000 eV/atom

a = 4.7303 Å, b = 4.6199 Å, c = 14.1317 Å
α = 90.00°, β = 99.63°, γ = 90.00°
Atoms (fractional coordinates):
Bi: 0.8647 0.7500 0.7295
In: 0.5445 0.2500 0.0891
Bi: 0.2497 0.7500 0.4995
La: 0.6558 0.7500 0.3117
In: 0.9541 0.2500 0.9082
Bi: 0.1353 0.2500 0.2705
La: 0.3442 0.2500 0.6883
In: 0.4555 0.7500 0.9109
Bi: 0.7503 0.2500 0.5005
In: 0.0459 0.7500 0.0918



No. 2
Material: La2In2Bi
Method: DFT, GGA-PBE
State: optimized geometry

Calculated values
**ΔE to the lowest computed polymorph**: 0.165 eV/atom

a = 8.4193 Å, b = 8.4193 Å, c = 4.8171 Å
α = 90.00°, β = 90.00°, γ = 90.00°
Atoms (fractional coordinates):
In: 0.6448 0.8552 0.5000
In: 0.8552 0.3552 0.5000
La: 0.1540 0.3460 0.0000
Bi: 0.0000 0.0000 0.0000
La: 0.8460 0.6540 0.0000
La: 0.6540 0.1540 0.0000
In: 0.1448 0.6448 0.5000
In: 0.3552 0.1448 0.5000
Bi: 0.5000 0.5000 0.0000
La: 0.3460 0.8460 0.0000



No. 3
Material: La7In2Bi2
Method: DFT, GGA-PBE
State: optimized geometry

Calculated values
**DFT total energy**: -50.75 eV/cell

a = 7.6603 Å, b = 7.1963 Å, c = 7.6603 Å
α = 90.00°, β = 100.63°, γ = 90.00°
Atoms (fractional coordinates):
La: 0.5003 0.7158 0.9998
In: 0.2736 0.0000 0.7264
La: 0.5002 0.7366 0.4998
La: 0.0002 0.7158 0.4997
Bi: 0.1843 0.5000 0.1843
La: 0.0000 0.0000 0.0000
Bi: 0.8157 0.5000 0.8157
In: 0.7264 0.0000 0.2736
La: 0.9998 0.2842 0.5003
La: 0.4998 0.2634 0.5002
La: 0.4997 0.2842 0.0002



No. 4
Material: La2In3Bi3
Method: DFT, GGA-PBE
State: optimized geometry

Calculated values
**DFT total energy**: -33.98 eV/cell

a = 5.0287 Å, b = 4.8824 Å, c = 9.6783 Å
α = 90.00°, β = 90.00°, γ = 90.00°
Atoms (fractional coordinates):
In: 0.5000 0.0000 0.0000
La: 0.0000 0.0000 0.7467
Bi: 0.0000 0.5000 0.0000
Bi: 0.0000 0.5000 0.5000
In: 0.5000 0.5000 0.7617
Bi: 0.5000 0.0000 0.5000
La: 0.0000 0.0000 0.2533
In: 0.5000 0.5000 0.2383



No. 5
Material: LaIn2Bi2
Method: DFT, GGA-PBE
State: optimized geometry

Calculated values
**ΔE to the lowest computed polymorph**: 0.171 eV/atom

a = 8.5309 Å, b = 8.5309 Å, c = 4.1983 Å
α = 90.00°, β = 90.00°, γ = 90.00°
Atoms (fractional coordinates):
Bi: 0.8256 0.3256 0.5000
La: 0.0000 0.0000 0.0000
In: 0.3752 0.8752 0.0000
In: 0.6248 0.1248 0.0000
In: 0.1248 0.3752 0.0000
La: 0.5000 0.5000 0.0000
Bi: 0.3256 0.1744 0.5000
Bi: 0.6744 0.8256 0.5000
Bi: 0.1744 0.6744 0.5000
In: 0.8752 0.6248 0.0000



No. 6
Material: La2InBi2
Method: DFT, GGA-PBE
State: optimized geometry

Calculated values
**ΔE to the lowest computed polymorph**: 0.076 eV/atom

a = 8.8189 Å, b = 8.8189 Å, c = 4.3417 Å
α = 90.00°, β = 90.00°, γ = 90.00°
Atoms (fractional coordinates):
Bi: 0.6631 0.8369 0.5000
Bi: 0.1631 0.6631 0.5000
In: 0.0000 0.0000 0.0000
La: 0.6435 0.1435 0.0000
In: 0.5000 0.5000 0.0000
La: 0.8565 0.6435 0.0000
La: 0.3565 0.8565 0.0000
La: 0.1435 0.3565 0.0000
Bi: 0.3369 0.1631 0.5000
Bi: 0.8369 0.3369 0.5000



No. 7
Material: La8In2Bi
Method: DFT, GGA-PBE
State: optimized geometry

Calculated values
**ΔE to the lowest computed polymorph**: 0.000 eV/atom

a = 5.1046 Å, b = 8.4441 Å, c = 10.2763 Å
α = 120.74°, β = 104.38°, γ = 90.00°
Atoms (fractional coordinates):
La: 0.1503 0.0793 0.3006
La: 0.0506 0.3617 0.1013
La: 0.4013 0.2509 0.8026
La: 0.3241 0.5729 0.6482
La: 0.6759 0.4271 0.3518
La: 0.9494 0.6383 0.8987
La: 0.8497 0.9207 0.6994
In: 0.7800 0.2211 0.5600
La: 0.5987 0.7491 0.1974
In: 0.2200 0.7789 0.4400
Bi: 0.5000 0.0000 0.0000



No. 8
Material: LaInBi
Method: DFT, GGA-PBE
State: optimized geometry

Calculated values
**ΔE to the lowest computed polymorph**: 0.000 eV/atom

a = 4.2170 Å, b = 5.1413 Å, c = 5.1413 Å
α = 120.00°, β = 90.00°, γ = 90.00°
Atoms (fractional coordinates):
Bi: 0.7592 0.6667 0.3333
La: 0.3136 0.3333 0.6667
In: 0.9272 0.0000 0.0000



No. 9
Material: La2InBi3
Method: DFT, GGA-PBE
State: optimized geometry

Calculated values
**DFT total energy**: -27.38 eV/cell

a = 4.7325 Å, b = 6.4885 Å, c = 8.1822 Å
α = 113.36°, β = 106.81°, γ = 90.00°
Atoms (fractional coordinates):
Bi: 0.3292 0.3292 0.6584
La: 0.3349 0.8349 0.6699
In: 0.0000 0.5000 0.0000
Bi: 0.6708 0.6708 0.3416
La: 0.6651 0.1651 0.3301
Bi: 0.0000 0.0000 0.0000



No. 10
Material: LaInBi2
Method: DFT, GGA-PBE
State: optimized geometry

Calculated values
**DFT total energy**: -16.60 eV/cell

a = 4.6901 Å, b = 4.6901 Å, c = 7.7686 Å
α = 72.43°, β = 72.43°, γ = 60.00°
Atoms (fractional coordinates):
Bi: 0.2549 0.2549 0.2354
Bi: 0.7451 0.7451 0.7646
La: 0.5000 0.5000 0.5000
In: 0.0000 0.0000 0.0000



No. 11
Material: La2InBi
Method: DFT, GGA-PBE
State: optimized geometry

Calculated values
**ΔE to the lowest computed polymorph**: 0.000 eV/atom

a = 4.6349 Å, b = 4.7834 Å, c = 13.0240 Å
α = 100.58°, β = 90.00°, γ = 90.00°
Atoms (fractional coordinates):
Bi: 0.7500 0.8113 0.6226
Bi: 0.2500 0.1887 0.3774
La: 0.7500 0.9379 0.8758
La: 0.7500 0.6828 0.3655
In: 0.7500 0.5387 0.0774
In: 0.2500 0.4613 0.9226
La: 0.2500 0.0621 0.1242
La: 0.2500 0.3172 0.6345



No. 12
Material: LiLaInBi2
Method: DFT, GGA-PBE
State: optimized geometry

Calculated values
**DFT total energy**: -18.84 eV/cell

a = 5.3181 Å, b = 5.0221 Å, c = 5.3181 Å
α = 90.00°, β = 90.00°, γ = 90.00°
Atoms (fractional coordinates):
La: 0.5000 0.5000 0.5000
Bi: 0.5000 0.0000 0.0000
Li: 0.0000 0.0000 0.0000
Bi: 0.0000 0.0000 0.5000
In: 0.0000 0.5000 0.0000